# 1
Computed, not measured: a relaxed LaBMo crystal at the GGA-PBE level of DFT.

The value obtained for the volume is 18.78 Å³/atom. The magnetization is 0.00 μB per atom. Its mass density is 7.24 g/cm3. The value obtained for the total energy is -0.2743 Ha/atom. For the formation enthalpy at 0 K, the calculation gives 0.015 eV per atom. The calculation puts the distance to the lowest polymorph of the same formula at 0.140 eV per atom.

Cell: 10.234 3.406 7.239 Å, 90.00 116.72 90.00°
Space group C2/m (No. 12)
Unique sites:
La  0.061  0.000  0.309
B  0.094  0.500  0.025
Mo  0.237  0.500  0.852

***

# 2
Computed, not measured: a relaxed AcPm2S4 crystal at the GGA-PBE level of DFT.

The value obtained for the volume is 26.44 Å³/atom. The magnetization is 0.00 μB per atom. Its mass density is 5.79 g/cm3. For the formation energy from raw total energies, the calculation gives -2.0973 eV per atom. The value obtained for the total energy is -0.2352 Ha/atom.

Cell: 4.060 13.399 13.610 Å, 90.00 90.00 90.00°
Space group Cmcm (No. 63)
Unique sites:
Ac  0.000  0.121  0.250
Pm  0.000  0.371  0.065
S  0.000  0.000  0.000
S  0.000  0.272  0.620
S  0.000  0.460  0.250

***

# 3
Computed, not measured: a relaxed Tb5DyHo4 crystal at the GGA-PBE level of DFT.

The value obtained for the volume is 32.14 Å³/atom. The magnetization is 0.00 μB per atom. Its mass density is 8.35 g/cm3. The value obtained for the total energy is -0.1581 Ha/atom. For the formation enthalpy at 0 K, the calculation gives 0.305 eV per atom. The calculation puts the distance to the lowest polymorph of the same formula at 0.244 eV per atom.

Cell: 10.142 10.142 6.250 Å, 90.00 90.00 90.00°
Space group I4 (No. 79)
Unique sites:
Tb  0.000  0.000  0.000
Tb  0.147  0.769  0.271
Dy  0.000  0.000  0.541
Ho  0.047  0.654  0.770

***

# 4
Computed, not measured: a relaxed Be2CrTc crystal at the GGA-PBE level of DFT.

The value obtained for the volume is 10.91 Å³/atom. The magnetization is 0.01 μB per atom. Its mass density is 6.39 g/cm3. The value obtained for the total energy is -0.2540 Ha/atom. For the formation enthalpy at 0 K, the calculation gives -0.050 eV per atom. The calculation puts the distance to the lowest polymorph of the same formula at 0.037 eV per atom.

Cell: 5.589 5.589 5.589 Å, 90.00 90.00 90.00°
Space group F-43m (No. 216)
Unique sites:
Be  0.000  0.000  0.000
Be  0.250  0.250  0.250
Cr  0.000  0.000  0.500
Tc  0.250  0.250  0.750

***

# 5
Computed, not measured: a relaxed Zn2InRu crystal at the GGA-PBE level of DFT.

The value obtained for the volume is 16.85 Å³/atom. The magnetization is 0.04 μB per atom. Its mass density is 8.54 g/cm3. The value obtained for the total energy is -0.1259 Ha/atom. For the formation enthalpy at 0 K, the calculation gives 0.214 eV per atom.

Cell: 3.0094 3.0094 25.7814 Å, 90.00 90.00 120.00°
Space group R3m (No. 160, hexagonal axes)
Unique sites:
Zn  0.0000  0.0000  0.0000
Zn  0.0000  0.0000  0.2538
In  0.0000  0.0000  0.7582
Ru  0.0000  0.0000  0.5102

***

# 6
Computed, not measured: a relaxed RbP2Rh crystal at the GGA-PBE level of DFT.

The value obtained for the volume is 27.44 Å³/atom. The magnetization is 0.00 μB per atom. Its mass density is 3.79 g/cm3. The value obtained for the total energy is -0.1827 Ha/atom. For the formation enthalpy at 0 K, the calculation gives -0.187 eV per atom. The calculation puts the distance to the lowest polymorph of the same formula at 0.000 eV per atom.

Cell: 7.087 7.087 8.739 Å, 90.00 90.00 90.00°
Space group I-42d (No. 122)
Unique sites:
Rb  0.000  0.000  0.000
P  0.118  0.250  0.625
Rh  0.000  0.000  0.500

***

# 7
Computed, not measured: a relaxed DyZnAu crystal at the GGA-PBE level of DFT.

The value obtained for the volume is 20.71 Å³/atom. The magnetization is 0.00 μB per atom. Its mass density is 11.36 g/cm3. The value obtained for the total energy is -0.1361 Ha/atom. For the formation enthalpy at 0 K, the calculation gives -0.653 eV per atom.

Cell: 10.367 4.564 6.881 Å, 90.00 130.25 90.00°
Space group C2/m (No. 12)
Unique sites:
Dy  0.031  0.000  0.286
Zn  0.159  0.500  0.116
Au  0.176  0.500  0.706

***

# 8
Computed, not measured: a relaxed Ga2GePd2 crystal at the GGA-PBE level of DFT.

The value obtained for the volume is 16.39 Å³/atom. The magnetization is 0.00 μB per atom. Its mass density is 8.61 g/cm3. The value obtained for the total energy is -0.1685 Ha/atom. For the formation enthalpy at 0 K, the calculation gives -0.374 eV per atom. The calculation puts the distance to the lowest polymorph of the same formula at 0.000 eV per atom.

Cell: 7.545 7.545 2.879 Å, 90.00 90.00 90.00°
Space group P4/mbm (No. 127)
Unique sites:
Ga  0.158  0.342  0.000
Ge  0.000  0.000  0.500
Pd  0.140  0.640  0.500

***

# 9
Computed, not measured: a relaxed Cs2BC crystal at the GGA-PBE level of DFT.

The value obtained for the volume is 32.67 Å³/atom. The magnetization is 0.00 μB per atom. Its mass density is 3.67 g/cm3. The value obtained for the total energy is -0.1422 Ha/atom. For the formation enthalpy at 0 K, the calculation gives 0.531 eV per atom. The calculation puts the distance to the lowest polymorph of the same formula at 0.000 eV per atom.

Cell: 13.020 13.020 3.083 Å, 90.00 90.00 90.00°
Space group I-42d (No. 122)
Unique sites:
Cs  0.016  0.750  0.125
B  0.000  0.000  0.500
C  0.000  0.000  0.000

***

# 10
Computed, not measured: a relaxed CeYHo crystal at the GGA-PBE level of DFT.

The value obtained for the volume is 31.37 Å³/atom. The magnetization is 0.26 μB per atom. Its mass density is 6.95 g/cm3. The value obtained for the total energy is -0.2037 Ha/atom. For the formation enthalpy at 0 K, the calculation gives 0.116 eV per atom. The calculation puts the distance to the lowest polymorph of the same formula at 0.048 eV per atom.

Cell: 6.833 11.277 9.769 Å, 90.00 90.00 90.00°
Space group Cmce (No. 64)
Unique sites:
Ce  0.250  0.125  0.250
Y  0.000  0.126  0.584
Ho  0.000  0.124  0.917

***

# 11
Computed, not measured: a relaxed Tb7Dy3Er2 crystal at the GGA-PBE level of DFT.

The value obtained for the volume is 33.75 Å³/atom. The magnetization is 0.00 μB per atom. Its mass density is 7.93 g/cm3. The value obtained for the total energy is -0.1582 Ha/atom. For the formation enthalpy at 0 K, the calculation gives 0.306 eV per atom. The calculation puts the distance to the lowest polymorph of the same formula at 0.195 eV per atom.

Cell: 5.500 6.164 11.952 Å, 88.20 89.99 89.90°
Space group P-1 (No. 2)
Unique sites:
Tb  0.000  0.000  0.000
Tb  0.000  0.439  0.819
Tb  0.499  0.238  0.548
Tb  0.500  0.090  0.832
Dy  0.000  0.055  0.338
Dy  0.500  0.500  0.000
Er  0.500  0.384  0.279

***

# 12
Computed, not measured: a relaxed BeHg2Te crystal at the GGA-PBE level of DFT.

The value obtained for the volume is 27.81 Å³/atom. The magnetization is 0.00 μB per atom. Its mass density is 8.03 g/cm3. For the formation energy from raw total energies, the calculation gives 0.1338 eV per atom. The value obtained for the total energy is -0.0637 Ha/atom. The calculation puts the distance to the lowest polymorph of the same formula at 0.167 eV per atom.

Cell: 3.571 3.571 8.726 Å, 90.00 90.00 90.00°
Space group P4mm (No. 99)
Unique sites:
Be  0.000  0.000  0.000
Hg  0.000  0.000  0.719
Hg  0.500  0.500  0.457
Te  0.500  0.500  0.062

***

# 13
Computed, not measured: a relaxed YMg2Se crystal at the GGA-PBE level of DFT.

The value obtained for the volume is 23.96 Å³/atom. The magnetization is 0.09 μB per atom. Its mass density is 3.75 g/cm3. For the formation energy from raw total energies, the calculation gives -0.4539 eV per atom. The value obtained for the total energy is -0.1374 Ha/atom.

Cell: 3.539 3.539 7.656 Å, 90.00 90.00 90.00°
Space group P4/mmm (No. 123)
Unique sites:
Y  0.000  0.000  0.000
Mg  0.500  0.500  0.300
Se  0.000  0.000  0.500

***

# 14
Computed, not measured: a relaxed AlW2Au crystal at the GGA-PBE level of DFT.

The value obtained for the volume is 16.26 Å³/atom. The magnetization is 0.00 μB per atom. Its mass density is 15.10 g/cm3. The value obtained for the total energy is -0.2956 Ha/atom. For the formation enthalpy at 0 K, the calculation gives 0.188 eV per atom.

Cell: 9.408 2.755 5.051 Å, 90.00 96.43 90.00°
Space group Cm (No. 8)
Unique sites:
Al  0.000  0.000  0.000
W  0.252  0.000  0.725
W  0.498  0.000  0.507
Au  0.250  0.500  0.219

***

# 15
Computed, not measured: a relaxed U3Tl2TcO12 crystal at the GGA-PBE level of DFT.

The value obtained for the volume is 18.55 Å³/atom. The magnetization is 0.17 μB per atom. Its mass density is 7.03 g/cm3. For the formation energy from raw total energies, the calculation gives -2.4129 eV per atom. The value obtained for the total energy is -0.3101 Ha/atom.

Cell: 7.9514 7.9514 18.2925 Å, 90.00 90.00 120.00°
Space group R-3m (No. 166, hexagonal axes)
Unique sites:
U  0.0000  0.5000  0.0000
Tl  0.0000  0.0000  0.1628
Tc  0.0000  0.0000  0.5000
O  0.0878  0.5439  0.3630
O  0.0937  0.5469  0.1050

***

# 16
Computed, not measured: a relaxed InFeSi2 crystal at the GGA-PBE level of DFT.

The value obtained for the volume is 15.79 Å³/atom. The magnetization is 0.52 μB per atom. Its mass density is 5.96 g/cm3. For the formation energy from raw total energies, the calculation gives 0.5241 eV per atom. The value obtained for the total energy is -0.1833 Ha/atom.

Cell: 3.954 3.954 8.081 Å, 90.00 90.00 90.00°
Space group I-4m2 (No. 119)
Unique sites:
In  0.000  0.000  0.000
Fe  0.000  0.500  0.250
Si  0.000  0.000  0.500
Si  0.000  0.500  0.750